No. 1
## RbGe (PBE)

Data for an optimized crystal structure of RbGe.

Summary:
crystal system: tetragonal
DFT formation energy: 0.1 eV per formula unit
energy above the most stable polymorph in this dataset: 225 meV/atom

Lattice parameters (Å, degrees): 7.514 7.514 7.078 90.00 90.00 90.00
Atoms (fractional coordinates):
Rb 0.322 0.678 0.500
Rb 0.178 0.178 0.000
Ge 0.106 0.106 0.500
Ge 0.394 0.606 0.000
Ge 0.894 0.894 0.500
Rb 0.678 0.322 0.500
Ge 0.606 0.394 0.000
Rb 0.822 0.822 0.000

=====

No. 2
## RbGe (PBE)

Data for an optimized crystal structure of RbGe.

Summary:
crystal system: tetragonal
DFT formation energy: -0.4 eV per formula unit
energy above the most stable polymorph in this dataset: 0 meV/atom

Lattice parameters (Å, degrees): 12.099 12.099 12.099 124.72 124.72 82.00
Atoms (fractional coordinates):
Ge 0.951 0.991 0.840
Ge 0.509 0.549 0.160
Ge 0.861 0.201 0.460
Rb 0.378 0.878 0.256
Ge 0.299 0.639 0.540
Ge 0.741 0.400 0.540
Ge 0.009 0.850 0.960
Rb 0.625 0.734 0.609
Rb 0.266 0.875 0.891
Ge 0.361 0.900 0.660
Ge 0.889 0.049 0.040
Ge 0.650 0.491 0.040
Rb 0.622 0.122 0.744
Rb 0.122 0.378 0.500
Rb 0.766 0.875 0.391
Rb 0.872 0.628 0.000
Rb 0.628 0.872 0.000
Rb 0.878 0.622 0.500
Rb 0.128 0.128 0.756
Ge 0.389 0.350 0.840
Rb 0.125 0.516 0.891
Ge 0.451 0.611 0.960
Ge 0.600 0.139 0.340
Ge 0.799 0.259 0.660
Ge 0.241 0.701 0.340
Rb 0.484 0.375 0.609
Rb 0.984 0.375 0.109
Rb 0.372 0.372 0.244
Ge 0.150 0.111 0.160
Rb 0.625 0.234 0.109
Rb 0.125 0.016 0.391
Ge 0.100 0.759 0.460

=====

| no. | total DFT energy (no corrections) (eV/atom) |
| --- | --- |
| 1 | -2.756 |
| 2 | -2.981 |